(1)
Here is an optimized crystal structure of BaSrCu2Br from Alexandria. Energies are from PBE-GGA.

Cell lengths 5.625, 5.625, 5.760 Å; angles 90.00, 90.00, 90.00 degrees
Space group P4/mmm (No. 123)
One atom of each set of equivalent atoms:
Ba 0.000 0.000 0.000 [1 per cell]
Sr 0.500 0.500 0.500 [1 per cell]
Cu 0.000 0.500 0.500 [2 per cell]
Br 0.500 0.500 0.000 [1 per cell]

Output
N(E_F)   0.46 states/eV/atom
E_form (uncorrected)   -0.18 eV per atom
Spin magnetization   0.00 μB/f.u.
Electronic total energy   -2.8724 eV per atom


(2)
Here is an optimized crystal structure of PaMn2Br8 from Alexandria. Energies are from PBE-GGA.

Cell lengths 8.0201, 8.0201, 7.1797 Å; angles 90.00, 90.00, 120.00 degrees
Space group P-3m1 (No. 164)
One atom of each set of equivalent atoms:
Pa 0.0000 0.0000 0.0000 [1 per cell]
Mn 0.3333 0.6667 0.9204 [2 per cell]
Br 0.1646 0.3293 0.7664 [6 per cell]
Br 0.3333 0.6667 0.2485 [2 per cell]

Output
E_form (uncorrected)   -1.00 eV per atom
Spin magnetization   8.99 μB/f.u.
Electronic total energy   -4.7437 eV per atom


Question: What is the E_form (uncorrected) in the second record?
Answer: -1.00 eV per atom


Question: Which of these has the highest E_form (uncorrected)?
Answer: BaSrCu2Br


Question: Which of these has the highest E_form (uncorrected)?
Answer: BaSrCu2Br


What did the second record say?
Here is an optimized crystal structure of PaMn2Br8 from Alexandria. Energies are from PBE-GGA.

Cell lengths 8.0201, 8.0201, 7.1797 Å; angles 90.00, 90.00, 120.00 degrees
Space group P-3m1 (No. 164)
One atom of each set of equivalent atoms:
Pa 0.0000 0.0000 0.0000 [1 per cell]
Mn 0.3333 0.6667 0.9204 [2 per cell]
Br 0.1646 0.3293 0.7664 [6 per cell]
Br 0.3333 0.6667 0.2485 [2 per cell]

Output
E_form (uncorrected)   -1.00 eV per atom
Spin magnetization   8.99 μB/f.u.
Electronic total energy   -4.7437 eV per atom